The following is a PBE calculation of ZrTlAgSeS2 after structural relaxation, from the Open Quantum Materials Database.

CIF file:
```
data_ZrTlAgSeS2
_symmetry_space_group_name_H-M 'C m c m'
_symmetry_Int_Tables_number 63
_symmetry_space_group_name_Hall '-C 2c 2'
_cell_length_a 3.8352
_cell_length_b 14.6038
_cell_length_c 10.4525
_cell_angle_alpha 90.00
_cell_angle_beta 90.00
_cell_angle_gamma 90.00
loop_
_atom_site_label
_atom_site_type_symbol
_atom_site_fract_x
_atom_site_fract_y
_atom_site_fract_z
Zr1 Zr 0.0000 0.0000 0.0000
Tl1 Tl 0.0000 0.2508 0.2500
Ag1 Ag 0.0000 0.4439 0.7500
Se1 Se 0.0000 0.0713 0.7500
S1 S 0.0000 0.3798 0.5323
```

## Properties
Electronic total energy ... -121.940 eV for the cell shown

***

The following is a PBE calculation of ZrTlAgSeS2 after structural relaxation, from the Open Quantum Materials Database.

CIF file:
```
data_ZrTlAgSeS2
_symmetry_space_group_name_H-M 'P 1 21/m 1'
_symmetry_Int_Tables_number 11
_symmetry_space_group_name_Hall '-P 2yb'
_cell_length_a 8.1061
_cell_length_b 3.8590
_cell_length_c 10.0091
_cell_angle_alpha 90.00
_cell_angle_beta 109.64
_cell_angle_gamma 90.00
loop_
_atom_site_label
_atom_site_type_symbol
_atom_site_fract_x
_atom_site_fract_y
_atom_site_fract_z
Zr1 Zr 0.1894 0.2500 0.1498
Tl1 Tl 0.2333 0.7500 0.7096
Ag1 Ag 0.4367 0.7500 0.3889
Se1 Se 0.2187 0.2500 0.4271
S1 S 0.0446 0.2500 0.8744
S2 S 0.3944 0.7500 0.1301
```

## Properties
Electronic total energy ... -61.566 eV for the cell shown

***

The following is a PBE calculation of Y2Ag2SeS3 after structural relaxation, from the Open Quantum Materials Database.

CIF file:
```
data_Y2Ag2SeS3
_symmetry_space_group_name_H-M 'C 1 m 1'
_symmetry_Int_Tables_number 8
_symmetry_space_group_name_Hall 'C -2y'
_cell_length_a 9.4777
_cell_length_b 9.2289
_cell_length_c 4.1610
_cell_angle_alpha 90.00
_cell_angle_beta 90.90
_cell_angle_gamma 90.00
loop_
_atom_site_label
_atom_site_type_symbol
_atom_site_fract_x
_atom_site_fract_y
_atom_site_fract_z
Y1 Y 0.0000 0.0000 0.0000
Y2 Y 0.0143 0.5000 0.4329
Ag1 Ag 0.2596 0.2507 0.1993
Se1 Se 0.2113 0.0000 0.5048
S1 S 0.0078 0.2994 0.9430
S2 S 0.3063 0.5000 0.4832
```

## Properties
Electronic total energy ... -89.771 eV for the cell shown

***

The following is a PBE calculation of ZrAg2SeS2 after structural relaxation, from the Open Quantum Materials Database.

CIF file:
```
data_ZrAg2SeS2
_symmetry_space_group_name_H-M 'C 1 2/m 1'
_symmetry_Int_Tables_number 12
_symmetry_space_group_name_Hall '-C 2y'
_cell_length_a 19.6736
_cell_length_b 3.9361
_cell_length_c 7.2427
_cell_angle_alpha 90.00
_cell_angle_beta 90.88
_cell_angle_gamma 90.00
loop_
_atom_site_label
_atom_site_type_symbol
_atom_site_fract_x
_atom_site_fract_y
_atom_site_fract_z
Zr1 Zr 0.1462 0.0000 0.0629
Ag1 Ag 0.0264 0.5000 0.1855
Ag2 Ag 0.1969 0.0000 0.4850
Se1 Se 0.2396 0.5000 0.1957
S1 S 0.0802 0.0000 0.3471
S2 S 0.1019 0.5000 0.8683
```

## Properties
Electronic total energy ... -121.363 eV for the cell shown

***

The following is a PBE calculation of SiAg8S6 after structural relaxation, from the Open Quantum Materials Database.

CIF file:
```
data_SiAg8S6
_symmetry_space_group_name_H-M 'P n a 21'
_symmetry_Int_Tables_number 33
_symmetry_space_group_name_Hall 'P 2c -2n'
_cell_length_a 15.1862
_cell_length_b 7.5432
_cell_length_c 10.6578
_cell_angle_alpha 90.00
_cell_angle_beta 90.00
_cell_angle_gamma 90.00
loop_
_atom_site_label
_atom_site_type_symbol
_atom_site_fract_x
_atom_site_fract_y
_atom_site_fract_z
Si1 Si 0.1232 0.2282 0.0000
Ag1 Ag 0.0157 0.5096 0.2414
Ag2 Ag 0.0626 0.7305 0.0135
Ag3 Ag 0.0687 0.0637 0.3312
Ag4 Ag 0.0845 0.1008 0.6556
Ag5 Ag 0.1307 0.7527 0.4799
Ag6 Ag 0.2263 0.3764 0.6660
Ag7 Ag 0.2286 0.4986 0.2576
Ag8 Ag 0.2403 0.1202 0.4537
S1 S 0.0078 0.2263 0.1172
S2 S 0.1135 0.3173 0.4817
S3 S 0.1202 0.9998 0.8790
S4 S 0.1234 0.7628 0.2431
S5 S 0.1267 0.4610 0.8810
S6 S 0.2366 0.2203 0.1196
```

## Properties
Electronic total energy ... -223.416 eV for the cell shown

***

The following is a PBE calculation of TlSiAgTe2S after structural relaxation, from the Open Quantum Materials Database.

CIF file:
```
data_TlSiAgTe2S
_symmetry_space_group_name_H-M 'C m c m'
_symmetry_Int_Tables_number 63
_symmetry_space_group_name_Hall '-C 2c 2'
_cell_length_a 4.0375
_cell_length_b 17.5283
_cell_length_c 9.4150
_cell_angle_alpha 90.00
_cell_angle_beta 90.00
_cell_angle_gamma 90.00
loop_
_atom_site_label
_atom_site_type_symbol
_atom_site_fract_x
_atom_site_fract_y
_atom_site_fract_z
Tl1 Tl 0.0000 0.2437 0.2500
Si1 Si 0.0000 0.0000 0.0000
Ag1 Ag 0.0000 0.3808 0.7500
Te1 Te 0.0000 0.3920 0.0406
S1 S 0.0000 0.0282 0.2500
```

## Properties
Electronic total energy ... -84.963 eV for the cell shown

***

The following is a PBE calculation of Sm2AgS3 after structural relaxation, from the Open Quantum Materials Database.

CIF file:
```
data_Sm2AgS3
_symmetry_space_group_name_H-M 'P n m a'
_symmetry_Int_Tables_number 62
_symmetry_space_group_name_Hall '-P 2ac 2n'
_cell_length_a 10.3582
_cell_length_b 3.9178
_cell_length_c 13.1802
_cell_angle_alpha 90.00
_cell_angle_beta 90.00
_cell_angle_gamma 90.00
loop_
_atom_site_label
_atom_site_type_symbol
_atom_site_fract_x
_atom_site_fract_y
_atom_site_fract_z
Sm1 Sm 0.0218 0.2500 0.2427
Sm2 Sm 0.2149 0.7500 0.5185
Ag1 Ag 0.2285 0.2500 0.7362
S1 S 0.0417 0.2500 0.6072
S2 S 0.1030 0.7500 0.1005
S3 S 0.2339 0.7500 0.8601
```

## Properties
Electronic total energy ... -133.763 eV for the cell shown

***

The following is a PBE calculation of SmAg2S2 after structural relaxation, from the Open Quantum Materials Database.

CIF file:
```
data_SmAg2S2
_symmetry_space_group_name_H-M 'P -3 m 1'
_symmetry_Int_Tables_number 164
_symmetry_space_group_name_Hall '-P 3 2"'
_cell_length_a 3.9929
_cell_length_b 3.9929
_cell_length_c 8.2275
_cell_angle_alpha 90.00
_cell_angle_beta 90.00
_cell_angle_gamma 120.00
loop_
_atom_site_label
_atom_site_type_symbol
_atom_site_fract_x
_atom_site_fract_y
_atom_site_fract_z
Sm1 Sm 0.0000 0.0000 0.0000
Ag1 Ag 0.3333 0.6667 0.3905
S1 S 0.3333 0.6667 0.8090
```

## Properties
Electronic total energy ... -22.756 eV for the cell shown

***

The following is a PBE calculation of Sm2AgS3 after structural relaxation, from the Open Quantum Materials Database.

CIF file:
```
data_Sm2AgS3
_symmetry_space_group_name_H-M 'P n m a'
_symmetry_Int_Tables_number 62
_symmetry_space_group_name_Hall '-P 2ac 2n'
_cell_length_a 8.7262
_cell_length_b 3.8939
_cell_length_c 15.6239
_cell_angle_alpha 90.00
_cell_angle_beta 90.00
_cell_angle_gamma 90.00
loop_
_atom_site_label
_atom_site_type_symbol
_atom_site_fract_x
_atom_site_fract_y
_atom_site_fract_z
Sm1 Sm 0.1089 0.2500 0.2183
Sm2 Sm 0.1840 0.2500 0.9494
Ag1 Ag 0.0797 0.2500 0.5984
S1 S 0.1058 0.2500 0.3993
S2 S 0.1331 0.7500 0.0793
S3 S 0.1420 0.2500 0.7688
```

## Properties
Electronic total energy ... -134.175 eV for the cell shown

***

The following is a PBE calculation of Sm2AgS3 after structural relaxation, from the Open Quantum Materials Database.

CIF file:
```
data_Sm2AgS3
_symmetry_space_group_name_H-M 'P -3 m 1'
_symmetry_Int_Tables_number 164
_symmetry_space_group_name_Hall '-P 3 2"'
_cell_length_a 4.0352
_cell_length_b 4.0352
_cell_length_c 9.6161
_cell_angle_alpha 90.00
_cell_angle_beta 90.00
_cell_angle_gamma 120.00
loop_
_atom_site_label
_atom_site_type_symbol
_atom_site_fract_x
_atom_site_fract_y
_atom_site_fract_z
Sm1 Sm 0.3333 0.6667 0.1735
Ag1 Ag 0.0000 0.0000 0.5000
S1 S 0.0000 0.0000 0.0000
S2 S 0.3333 0.6667 0.6665
```

## Properties
Electronic total energy ... -33.659 eV for the cell shown

***

The following is a PBE calculation of SmAgSnS3 after structural relaxation, from the Open Quantum Materials Database.

CIF file:
```
data_SmAgSnS3
_symmetry_space_group_name_H-M 'P 1 21/m 1'
_symmetry_Int_Tables_number 11
_symmetry_space_group_name_Hall '-P 2yb'
_cell_length_a 7.4907
_cell_length_b 4.0749
_cell_length_c 9.7352
_cell_angle_alpha 90.00
_cell_angle_beta 104.62
_cell_angle_gamma 90.00
loop_
_atom_site_label
_atom_site_type_symbol
_atom_site_fract_x
_atom_site_fract_y
_atom_site_fract_z
Sm1 Sm 0.2143 0.2500 0.1498
Ag1 Ag 0.3854 0.7500 0.4149
Sn1 Sn 0.1962 0.7500 0.6900
S1 S 0.0614 0.2500 0.8585
S2 S 0.1931 0.2500 0.4507
S3 S 0.4679 0.7500 0.1797
```

## Properties
Electronic total energy ... -59.185 eV for the cell shown

***

The following is a PBE calculation of SmAgSnS3 after structural relaxation, from the Open Quantum Materials Database.

CIF file:
```
data_SmAgSnS3
_symmetry_space_group_name_H-M 'C 1 2/m 1'
_symmetry_Int_Tables_number 12
_symmetry_space_group_name_Hall '-C 2y'
_cell_length_a 17.5654
_cell_length_b 3.9686
_cell_length_c 8.3432
_cell_angle_alpha 90.00
_cell_angle_beta 104.30
_cell_angle_gamma 90.00
loop_
_atom_site_label
_atom_site_type_symbol
_atom_site_fract_x
_atom_site_fract_y
_atom_site_fract_z
Sm1 Sm 0.1645 0.0000 0.0920
Ag1 Ag 0.0273 0.5000 0.2147
Sn1 Sn 0.1313 0.0000 0.5752
S1 S 0.0000 0.0000 0.0000
S2 S 0.0000 0.5000 0.5000
S3 S 0.1712 0.5000 0.8536
S4 S 0.1819 0.5000 0.3320
```

## Properties
Electronic total energy ... -118.818 eV for the cell shown